Record 1
This record from the Alexandria database describes an optimized crystal structure of BaZn11Au. The functional is PBE.

D(E_F): 0.348 states/eV per atom
Magnetic moment: 0.000 μB per formula unit
Space group: C2/m, No. 12
DFT formation energy: -135.7 meV/atom
Volume: 230.77 Å³/cell

Unit cell a=7.1681 b=7.1681 c=7.0827 alpha=97.79 beta=97.79 gamma=136.97
Fractional coordinates of all 13 atoms:
1 Ba 0.0000 0.0000 0.0000
2 Zn 0.0000 0.0000 0.5000
3 Zn 0.0000 0.5000 0.0000
4 Zn 0.0077 0.6486 0.6409
5 Zn 0.2572 0.5022 0.7618
6 Zn 0.3514 0.9923 0.3591
7 Zn 0.4978 0.7428 0.2382
8 Zn 0.5000 0.0000 0.0000
9 Zn 0.5022 0.2572 0.7618
10 Zn 0.6486 0.0077 0.6409
11 Zn 0.7428 0.4978 0.2382
12 Zn 0.9923 0.3514 0.3591
13 Au 0.5000 0.5000 0.5000

Record 2
This record from the Alexandria database describes an optimized crystal structure of Ba6Zn5Au. The functional is PBE.

D(E_F): 1.008 states/eV per atom
Magnetic moment: 0.000 μB per formula unit
Space group: P2/m, No. 10
DFT formation energy: -242.2 meV/atom
Volume: 412.73 Å³/cell

Unit cell a=5.8096 b=8.1327 c=9.1992 alpha=90.00 beta=108.27 gamma=90.00
Fractional coordinates of all 12 atoms:
1 Ba 0.0000 0.2458 0.0000
2 Ba 0.0000 0.7542 0.0000
3 Ba 0.3356 0.2492 0.6718
4 Ba 0.3356 0.7508 0.6718
5 Ba 0.6644 0.2492 0.3282
6 Ba 0.6644 0.7508 0.3282
7 Zn 0.1662 0.5000 0.3320
8 Zn 0.1750 0.0000 0.3505
9 Zn 0.5000 0.5000 0.0000
10 Zn 0.8250 0.0000 0.6495
11 Zn 0.8338 0.5000 0.6680
12 Au 0.5000 0.0000 0.0000

Record 3
This record from the Alexandria database describes an optimized crystal structure of Ba2Zn2Au3. The functional is PBE.

D(E_F): 0.452 states/eV per atom
Magnetic moment: 0.000 μB per formula unit
Space group: Cmcm, No. 63
DFT formation energy: -557.4 meV/atom
Volume: 371.27 Å³/cell

Unit cell a=10.5554 b=10.5554 c=7.9139 alpha=90.00 beta=90.00 gamma=155.10
Fractional coordinates of all 14 atoms:
1 Ba 0.0545 0.9455 0.7500
2 Ba 0.1633 0.8367 0.2500
3 Ba 0.8367 0.1633 0.7500
4 Ba 0.9455 0.0545 0.2500
5 Zn 0.3136 0.6864 0.0729
6 Zn 0.3136 0.6864 0.4271
7 Zn 0.6864 0.3136 0.5729
8 Zn 0.6864 0.3136 0.9271
9 Au 0.2177 0.7823 0.7500
10 Au 0.4347 0.5653 0.5627
11 Au 0.4347 0.5653 0.9373
12 Au 0.5653 0.4347 0.0627
13 Au 0.5653 0.4347 0.4373
14 Au 0.7823 0.2177 0.2500

Record 4
This record from the Alexandria database describes an optimized crystal structure of BaZn2Au. The functional is PBE.

D(E_F): 0.780 states/eV per atom
Magnetic moment: 0.000 μB per formula unit
Space group: C2/m, No. 12
DFT formation energy: -376.4 meV/atom
Volume: 103.34 Å³/cell

Unit cell a=4.5420 b=4.5420 c=6.3355 alpha=110.52 beta=110.52 gamma=59.83
Fractional coordinates of all 4 atoms:
1 Ba 0.0000 0.0000 0.0000
2 Zn 0.1963 0.1963 0.5890
3 Zn 0.8037 0.8037 0.4110
4 Au 0.5000 0.5000 0.5000

Record 5
This record from the Alexandria database describes an optimized crystal structure of Ba3Zn4Au4. The functional is PBE.

D(E_F): 0.578 states/eV per atom
Energy above the lowest structure with this stoichiometry: 0.031 eV/atom
Magnetic moment: 0.000 μB per formula unit
Space group: P-1, No. 2
DFT formation energy: -501.2 meV/atom
Volume: 293.49 Å³/cell

Unit cell a=4.7180 b=4.7261 c=13.5563 alpha=99.91 beta=99.53 gamma=90.24
Fractional coordinates of all 11 atoms:
1 Ba 0.0000 0.0000 0.0000
2 Ba 0.3450 0.8488 0.6960
3 Ba 0.6550 0.1512 0.3040
4 Zn 0.2072 0.6977 0.4046
5 Zn 0.4471 0.4504 0.8989
6 Zn 0.5529 0.5496 0.1011
7 Zn 0.7928 0.3023 0.5954
8 Au 0.1020 0.5985 0.2007
9 Au 0.2451 0.2440 0.4980
10 Au 0.7549 0.7560 0.5020
11 Au 0.8980 0.4015 0.7993

Record 6
This record from the Alexandria database describes an optimized crystal structure of Ba4ZnAu3. The functional is PBE.

D(E_F): 0.624 states/eV per atom
Magnetic moment: 0.000 μB per formula unit
Space group: Pmm2, No. 25
DFT formation energy: -585.2 meV/atom
Volume: 282.12 Å³/cell

Unit cell a=4.6361 b=4.8849 c=12.4574 alpha=90.00 beta=90.00 gamma=90.00
Fractional coordinates of all 8 atoms:
1 Ba 0.0000 0.0000 0.0000
2 Ba 0.0000 0.5000 0.2690
3 Ba 0.5000 0.0000 0.4903
4 Ba 0.5000 0.5000 0.7740
5 Zn 0.0000 0.0000 0.6922
6 Au 0.0000 0.5000 0.5734
7 Au 0.5000 0.0000 0.2104
8 Au 0.5000 0.5000 0.0571